# TaFeRh2 | Alexandria via LeMat-Bulk | PBE | optimized geometry
data_TaFeRh2
_chemical_formula_sum 'Ta1 Fe1 Rh2'
_cell_length_a 3.921
_cell_length_b 3.921
_cell_length_c 3.743
_cell_angle_alpha 90.00
_cell_angle_beta 90.00
_cell_angle_gamma 90.00
_symmetry_space_group_name_H-M 'P 4/m m m'
_symmetry_Int_Tables_number 123
_symmetry_space_group_name_Hall '-P 4 2'
loop_
_atom_site_label
_atom_site_type_symbol
_atom_site_fract_x
_atom_site_fract_y
_atom_site_fract_z
_atom_site_occupancy
Ta1 Ta 0.000 0.000 0.000 1
Fe1 Fe 0.500 0.500 0.000 1
Rh1 Rh 0.000 0.500 0.500 1
# calculated total energy: -36.72 eV per cell
# energy of formation: -426 meV per atom
# Fermi-level density of states: 3.69 states/eV/cell

=====

# Ta3FeRh | Alexandria via LeMat-Bulk | PBE | optimized geometry
data_Ta3FeRh
_chemical_formula_sum 'Ta3 Fe1 Rh1'
_cell_length_a 4.519
_cell_length_b 4.519
_cell_length_c 4.519
_cell_angle_alpha 90.00
_cell_angle_beta 90.00
_cell_angle_gamma 90.00
_symmetry_space_group_name_H-M 'P m -3 m'
_symmetry_Int_Tables_number 221
_symmetry_space_group_name_Hall '-P 4 2 3'
loop_
_atom_site_label
_atom_site_type_symbol
_atom_site_fract_x
_atom_site_fract_y
_atom_site_fract_z
_atom_site_occupancy
Ta1 Ta 0.000 0.000 0.500 1
Fe1 Fe 0.000 0.000 0.000 1
Rh1 Rh 0.500 0.500 0.500 1
# excess energy over the best structure of this formula in the dataset: 0.0 meV/atom
# calculated total energy: -47.91 eV per cell
# energy of formation: 693 meV per atom
# Fermi-level density of states: 5.37 states/eV/cell

=====

# TaFeRh3 | Alexandria via LeMat-Bulk | PBE | optimized geometry
data_TaFeRh3
_chemical_formula_sum 'Ta1 Fe1 Rh3'
_cell_length_a 4.690
_cell_length_b 4.690
_cell_length_c 4.690
_cell_angle_alpha 90.00
_cell_angle_beta 90.00
_cell_angle_gamma 90.00
_symmetry_space_group_name_H-M 'P m -3 m'
_symmetry_Int_Tables_number 221
_symmetry_space_group_name_Hall '-P 4 2 3'
loop_
_atom_site_label
_atom_site_type_symbol
_atom_site_fract_x
_atom_site_fract_y
_atom_site_fract_z
_atom_site_occupancy
Ta1 Ta 0.000 0.000 0.000 1
Fe1 Fe 0.500 0.500 0.500 1
Rh1 Rh 0.000 0.000 0.500 1
# excess energy over the best structure of this formula in the dataset: 220.6 meV/atom
# calculated total energy: -36.75 eV per cell
# energy of formation: 1124 meV per atom
# Fermi-level density of states: 7.77 states/eV/cell

=====

# TaFeRh2 | Alexandria via LeMat-Bulk | PBE | optimized geometry
data_TaFeRh2
_chemical_formula_sum 'Ta2 Fe2 Rh4'
_cell_length_a 5.574
_cell_length_b 7.307
_cell_length_c 2.891
_cell_angle_alpha 90.00
_cell_angle_beta 90.00
_cell_angle_gamma 90.00
_symmetry_space_group_name_H-M 'C m m m'
_symmetry_Int_Tables_number 65
_symmetry_space_group_name_Hall '-C 2 2'
loop_
_atom_site_label
_atom_site_type_symbol
_atom_site_fract_x
_atom_site_fract_y
_atom_site_fract_z
_atom_site_occupancy
Ta1 Ta 0.000 0.000 0.000 1
Fe1 Fe 0.000 0.500 0.000 1
Rh1 Rh 0.250 0.250 0.500 1
# calculated total energy: -72.16 eV per cell
# energy of formation: -265 meV per atom
# Fermi-level density of states: 9.18 states/eV/cell

=====

# TaFe4Rh | Alexandria via LeMat-Bulk | PBE | optimized geometry
data_TaFe4Rh
_chemical_formula_sum 'Ta4 Fe16 Rh4'
_cell_length_a 6.719
_cell_length_b 6.719
_cell_length_c 6.719
_cell_angle_alpha 90.00
_cell_angle_beta 90.00
_cell_angle_gamma 90.00
_symmetry_space_group_name_H-M 'F -4 3 m'
_symmetry_Int_Tables_number 216
_symmetry_space_group_name_Hall 'F -4 2 3'
loop_
_atom_site_label
_atom_site_type_symbol
_atom_site_fract_x
_atom_site_fract_y
_atom_site_fract_z
_atom_site_occupancy
Ta1 Ta 0.000 0.000 0.000 1
Fe1 Fe 0.125 0.125 0.625 1
Rh1 Rh 0.250 0.250 0.250 1
# calculated total energy: -216.48 eV per cell
# energy of formation: -178 meV per atom
# Fermi-level density of states: 19.24 states/eV/cell

=====

# TaFeRh2 | Alexandria via LeMat-Bulk | PBE | optimized geometry
data_TaFeRh2
_chemical_formula_sum 'Ta4 Fe4 Rh8'
_cell_length_a 3.813
_cell_length_b 3.813
_cell_length_c 17.312
_cell_angle_alpha 90.00
_cell_angle_beta 90.00
_cell_angle_gamma 90.00
_symmetry_space_group_name_H-M 'I -4 2 d'
_symmetry_Int_Tables_number 122
_symmetry_space_group_name_Hall 'I -4 2bw'
loop_
_atom_site_label
_atom_site_type_symbol
_atom_site_fract_x
_atom_site_fract_y
_atom_site_fract_z
_atom_site_occupancy
Ta1 Ta 0.000 0.000 0.000 1
Fe1 Fe 0.000 0.000 0.500 1
Rh1 Rh 0.232 0.250 0.625 1
# calculated total energy: -136.92 eV per cell
# energy of formation: 197 meV per atom
# Fermi-level density of states: 15.89 states/eV/cell

=====

# TaFe2Rh | Alexandria via LeMat-Bulk | PBE | optimized geometry
data_TaFe2Rh
_chemical_formula_sum 'Ta4 Fe8 Rh4'
_cell_length_a 6.069
_cell_length_b 6.069
_cell_length_c 6.069
_cell_angle_alpha 90.00
_cell_angle_beta 90.00
_cell_angle_gamma 90.00
_symmetry_space_group_name_H-M 'F -4 3 m'
_symmetry_Int_Tables_number 216
_symmetry_space_group_name_Hall 'F -4 2 3'
loop_
_atom_site_label
_atom_site_type_symbol
_atom_site_fract_x
_atom_site_fract_y
_atom_site_fract_z
_atom_site_occupancy
Ta1 Ta 0.000 0.000 0.000 1
Fe1 Fe 0.000 0.000 0.500 1
Fe2 Fe 0.250 0.250 0.250 1
Rh1 Rh 0.250 0.250 0.750 1
# excess energy over the best structure of this formula in the dataset: 74.4 meV/atom
# calculated total energy: -146.88 eV per cell
# energy of formation: -148 meV per atom
# Fermi-level density of states: 14.79 states/eV/cell

=====

# TaFeRh2 | Alexandria via LeMat-Bulk | PBE | optimized geometry
data_TaFeRh2
_chemical_formula_sum 'Ta2 Fe2 Rh4'
_cell_length_a 3.810
_cell_length_b 3.810
_cell_length_c 8.015
_cell_angle_alpha 90.00
_cell_angle_beta 90.00
_cell_angle_gamma 90.00
_symmetry_space_group_name_H-M 'I -4 m 2'
_symmetry_Int_Tables_number 119
_symmetry_space_group_name_Hall 'I -4 -2'
loop_
_atom_site_label
_atom_site_type_symbol
_atom_site_fract_x
_atom_site_fract_y
_atom_site_fract_z
_atom_site_occupancy
Ta1 Ta 0.000 0.000 0.000 1
Fe1 Fe 0.000 0.500 0.250 1
Rh1 Rh 0.000 0.000 0.500 1
Rh2 Rh 0.000 0.500 0.750 1
# calculated total energy: -72.71 eV per cell
# energy of formation: -335 meV per atom
# Fermi-level density of states: 6.12 states/eV/cell

=====

# TaFeRh2 | Alexandria via LeMat-Bulk | PBE | optimized geometry
data_TaFeRh2
_chemical_formula_sum 'Ta4 Fe4 Rh8'
_cell_length_a 6.163
_cell_length_b 6.163
_cell_length_c 6.163
_cell_angle_alpha 90.00
_cell_angle_beta 90.00
_cell_angle_gamma 90.00
_symmetry_space_group_name_H-M 'F -4 3 m'
_symmetry_Int_Tables_number 216
_symmetry_space_group_name_Hall 'F -4 2 3'
loop_
_atom_site_label
_atom_site_type_symbol
_atom_site_fract_x
_atom_site_fract_y
_atom_site_fract_z
_atom_site_occupancy
Ta1 Ta 0.000 0.000 0.000 1
Fe1 Fe 0.250 0.250 0.750 1
Rh1 Rh 0.000 0.000 0.500 1
Rh2 Rh 0.250 0.250 0.250 1
# calculated total energy: -141.94 eV per cell
# energy of formation: -117 meV per atom
# Fermi-level density of states: 20.07 states/eV/cell

=====

# TaFeRh | Alexandria via LeMat-Bulk | PBE | optimized geometry
data_TaFeRh
_chemical_formula_sum 'Ta4 Fe4 Rh4'
_cell_length_a 5.801
_cell_length_b 5.801
_cell_length_c 5.801
_cell_angle_alpha 90.00
_cell_angle_beta 90.00
_cell_angle_gamma 90.00
_symmetry_space_group_name_H-M 'F -4 3 m'
_symmetry_Int_Tables_number 216
_symmetry_space_group_name_Hall 'F -4 2 3'
loop_
_atom_site_label
_atom_site_type_symbol
_atom_site_fract_x
_atom_site_fract_y
_atom_site_fract_z
_atom_site_occupancy
Ta1 Ta 0.000 0.000 0.000 1
Fe1 Fe 0.250 0.250 0.750 1
Rh1 Rh 0.000 0.000 0.500 1
# excess energy over the best structure of this formula in the dataset: 457.7 meV/atom
# calculated total energy: -107.85 eV per cell
# energy of formation: 235 meV per atom
# Fermi-level density of states: 9.59 states/eV/cell

=====

# TaFeRh2 | Alexandria via LeMat-Bulk | PBE | optimized geometry
data_TaFeRh2
_chemical_formula_sum 'Ta2 Fe2 Rh4'
_cell_length_a 8.948
_cell_length_b 2.796
_cell_length_c 4.733
_cell_angle_alpha 90.00
_cell_angle_beta 100.36
_cell_angle_gamma 90.00
_symmetry_space_group_name_H-M 'C 1 2/m 1'
_symmetry_Int_Tables_number 12
loop_
_symmetry_equiv_pos_as_xyz
'x,y,z'
'-x,-y,-z'
'-x,y,-z'
'x,-y,z'
'x+1/2,y+1/2,z'
'-x+1/2,-y+1/2,-z'
'-x+1/2,y+1/2,-z'
'x+1/2,-y+1/2,z'
loop_
_atom_site_label
_atom_site_type_symbol
_atom_site_fract_x
_atom_site_fract_y
_atom_site_fract_z
_atom_site_occupancy
Ta1 Ta 0.000 0.000 0.000 1
Fe1 Fe 0.000 0.500 0.500 1
Rh1 Rh 0.247 0.000 0.739 1
# calculated total energy: -71.57 eV per cell
# energy of formation: -192 meV per atom
# Fermi-level density of states: 9.54 states/eV/cell

=====

# TaFe2Rh | Alexandria via LeMat-Bulk | PBE | optimized geometry
data_TaFe2Rh
_chemical_formula_sum 'Ta3 Fe6 Rh3'
_cell_length_a 2.7732
_cell_length_b 2.7732
_cell_length_c 26.0478
_cell_angle_alpha 90.00
_cell_angle_beta 90.00
_cell_angle_gamma 120.00
_symmetry_space_group_name_H-M 'R -3 m'
_symmetry_Int_Tables_number 166
_symmetry_space_group_name_Hall '-R 3 2"'
loop_
_atom_site_label
_atom_site_type_symbol
_atom_site_fract_x
_atom_site_fract_y
_atom_site_fract_z
_atom_site_occupancy
Ta1 Ta 0.0000 0.0000 0.0000 1
Fe1 Fe 0.0000 0.0000 0.2464 1
Rh1 Rh 0.0000 0.0000 0.5000 1
# excess energy over the best structure of this formula in the dataset: 396.0 meV/atom
# calculated total energy: -106.30 eV per cell
# energy of formation: 174 meV per atom
# Fermi-level density of states: 14.31 states/eV/cell

=====

# TaFeRh | Alexandria via LeMat-Bulk | PBE | optimized geometry
data_TaFeRh
_chemical_formula_sum 'Ta2 Fe2 Rh2'
_cell_length_a 2.813
_cell_length_b 2.813
_cell_length_c 11.168
_cell_angle_alpha 90.00
_cell_angle_beta 90.00
_cell_angle_gamma 90.00
_symmetry_space_group_name_H-M 'I 4 m m'
_symmetry_Int_Tables_number 107
_symmetry_space_group_name_Hall 'I 4 -2'
loop_
_atom_site_label
_atom_site_type_symbol
_atom_site_fract_x
_atom_site_fract_y
_atom_site_fract_z
_atom_site_occupancy
Ta1 Ta 0.000 0.000 0.000 1
Fe1 Fe 0.000 0.000 0.671 1
Rh1 Rh 0.000 0.000 0.322 1
# excess energy over the best structure of this formula in the dataset: 106.5 meV/atom
# calculated total energy: -56.03 eV per cell
# energy of formation: -116 meV per atom
# Fermi-level density of states: 7.74 states/eV/cell

=====

# TaFe2Rh | Alexandria via LeMat-Bulk | PBE | optimized geometry
data_TaFe2Rh
_chemical_formula_sum 'Ta1 Fe2 Rh1'
_cell_length_a 3.124
_cell_length_b 3.124
_cell_length_c 5.698
_cell_angle_alpha 90.00
_cell_angle_beta 90.00
_cell_angle_gamma 90.00
_symmetry_space_group_name_H-M 'P 4/m m m'
_symmetry_Int_Tables_number 123
_symmetry_space_group_name_Hall '-P 4 2'
loop_
_atom_site_label
_atom_site_type_symbol
_atom_site_fract_x
_atom_site_fract_y
_atom_site_fract_z
_atom_site_occupancy
Ta1 Ta 0.000 0.000 0.000 1
Fe1 Fe 0.500 0.500 0.248 1
Rh1 Rh 0.000 0.000 0.500 1
# excess energy over the best structure of this formula in the dataset: 165.3 meV/atom
# calculated total energy: -36.36 eV per cell
# energy of formation: -57 meV per atom
# Fermi-level density of states: 4.08 states/eV/cell